Record 1
Material: TaAlO2
Method: DFT, SCAN
State: PBEsol geometry

```
TaAlO2
1.0
-2.3415 2.3415 4.3234
2.3415 -2.3415 4.3234
2.3415 2.3415 -4.3234
Ta Al O
2 2 4
Direct
0.0000 0.0000 0.0000 Ta
0.7500 0.2500 0.5000 Ta
0.2500 0.7500 0.5000 Al
0.5000 0.5000 0.0000 Al
0.1969 0.6250 0.0719 O
0.3750 0.4469 0.5719 O
0.5531 0.1250 0.9281 O
0.8750 0.8031 0.4281 O
```

Properties
Space-group type: No. 122
E_form (uncorrected), kJ/mol of atoms: -158.9

Record 2
Material: TaHgPb
Method: DFT, SCAN
State: PBEsol geometry

```
TaHgPb
1.0
3.1514 0.0000 0.0000
-1.5757 2.7292 0.0000
0.0000 0.0000 7.5733
Ta Hg Pb
1 1 1
Direct
0.0000 0.0000 0.0000 Ta
0.3333 0.6667 0.6972 Hg
0.6667 0.3333 0.3295 Pb
```

Properties
Space-group type: No. 156
E, eV/atom: -69.71

Record 3
Material: Ca2HfFe
Method: DFT, SCAN
State: PBEsol geometry

```
Ca2HfFe
1.0
0.0000 3.6459 3.6459
3.6459 0.0000 3.6459
3.6459 3.6459 0.0000
Ca Hf Fe
2 1 1
Direct
0.2500 0.2500 0.2500 Ca
0.7500 0.7500 0.7500 Ca
0.0000 0.0000 0.0000 Hf
0.5000 0.5000 0.5000 Fe
```

Properties
Space-group type: No. 225
E, eV/atom: -24.15

Record 4
Material: Zn2WBr
Method: DFT, SCAN
State: PBEsol geometry

```
Zn2WBr
1.0
2.7997 0.0000 0.0000
0.0000 2.7997 0.0000
0.0000 0.0000 9.3327
Zn W Br
2 1 1
Direct
0.0000 0.0000 0.1984 Zn
0.0000 0.0000 0.8016 Zn
0.5000 0.5000 0.0000 W
0.5000 0.5000 0.5000 Br
```

Properties
Space-group type: No. 123
E_form (uncorrected), kJ/mol of atoms: 45.3

Record 5
Material: K3MnF6
Method: DFT, SCAN
State: PBEsol geometry

```
K3MnF6
1.0
0.0000 4.3721 4.3721
4.3721 0.0000 4.3721
4.3721 4.3721 0.0000
K Mn F
3 1 6
Direct
0.0000 0.0000 0.0000 K
0.2500 0.2500 0.2500 K
0.7500 0.7500 0.7500 K
0.5000 0.5000 0.5000 Mn
0.2799 0.2799 0.7201 F
0.2799 0.7201 0.2799 F
0.2799 0.7201 0.7201 F
0.7201 0.2799 0.2799 F
0.7201 0.2799 0.7201 F
0.7201 0.7201 0.2799 F
```

Properties
Space-group type: No. 225
E_form (uncorrected), kJ/mol of atoms: -282.3

Record 6
Material: TlPtI2O
Method: DFT, SCAN
State: PBEsol geometry

```
TlPtI2O
1.0
5.8607 0.0000 0.0000
0.0000 5.8607 0.0000
0.0000 0.0000 3.9285
Tl Pt I O
1 1 2 1
Direct
0.0000 0.0000 0.0000 Tl
0.5000 0.5000 0.5000 Pt
0.0000 0.5000 0.0000 I
0.5000 0.0000 0.0000 I
0.0000 0.0000 0.5000 O
```

Properties
Space-group type: No. 123
E_form (uncorrected), kJ/mol of atoms: 72.0